1 | Compound: Ca2LaIr
Source: Alexandria
Functional: GGA-PBE
Structure: optimized geometry

The symmetry is Cmmm, No. 65. The crystal system is orthorhombic. The calculated volume comes out at 36.30 Å³ per atom.

a b c (Å): 4.249 6.729 6.728
angles (deg): 49.02 90.00 90.00
Each line ends with the local moment (μB).
Sites, in units of the cell vectors:
Ca 0.000 0.098 0.097  0.02
La 0.500 0.750 0.750  0.10
Ca 0.000 0.402 0.403  0.02
Ir 0.500 0.250 0.250  0.01



2 | Compound: Ca2LaIr
Source: Alexandria
Functional: GGA-PBE
Structure: optimized geometry

The symmetry is R-3m, No. 166. The crystal system is trigonal. The calculated volume comes out at 29.89 Å³ per atom.

a b c (Å): 11.104 11.104 11.104
angles (deg): 18.43 18.43 18.43
Sites, in units of the cell vectors:
La 0.750 0.750 0.750
Ca 0.978 0.978 0.978
Ir 0.250 0.250 0.250
Ca 0.522 0.522 0.522



3 | Compound: Ca2LaIr
Source: Alexandria
Functional: GGA-PBE
Structure: optimized geometry

The symmetry is Immm, No. 71. The crystal system is orthorhombic. The calculated volume comes out at 31.93 Å³ per atom.

a b c (Å): 8.062 8.062 8.062
angles (deg): 154.34 145.64 43.38
Sites, in units of the cell vectors:
La 0.750 0.250 0.500
Ca 0.084 0.084 0.000
Ir 0.250 0.750 0.500
Ca 0.416 0.416 0.000



Which is most stable, and by how much? 3, by 36 meV/atom.



1 | Compound: Ca2LaIr
Source: Alexandria
Functional: GGA-PBE
Structure: optimized geometry

The symmetry is I-42d, No. 122. The crystal system is tetragonal. The calculated volume comes out at 35.07 Å³ per atom.

a b c (Å): 10.057 10.057 7.633
angles (deg): 48.79 48.79 90.00
Sites, in units of the cell vectors:
Ca 0.748 0.125 0.250
Ir 0.000 0.000 0.000
La 0.250 0.750 0.500
Ca 0.002 0.625 0.250
Ca 0.875 0.998 0.750
Ca 0.375 0.252 0.750
Ir 0.750 0.250 0.500
La 0.500 0.500 0.000



2 | Compound: Ca2LaIr
Source: Alexandria
Functional: GGA-PBE
Structure: optimized geometry

The symmetry is Amm2, No. 38. The crystal system is orthorhombic. The calculated volume comes out at 33.43 Å³ per atom.

a b c (Å): 3.858 4.313 8.320
angles (deg): 74.98 90.00 90.00
Sites, in units of the cell vectors:
La 0.500 0.738 0.650
Ir 0.000 0.267 0.593
Ca 0.500 0.413 0.298
Ca 0.000 0.082 0.959



Which is most stable, and by how much? 2, by 222 meV/atom.



1 | Compound: CaLa2Ir
Source: Alexandria
Functional: GGA-PBE
Structure: optimized geometry

The symmetry is R-3m, No. 166. The crystal system is trigonal. The calculated volume comes out at 37.59 Å³ per atom.

a b c (Å): 10.140 10.140 10.140
angles (deg): 23.90 23.90 23.90
Sites, in units of the cell vectors:
Ir 0.750 0.750 0.750
Ca 0.250 0.250 0.250
La 0.468 0.468 0.468
La 0.032 0.032 0.032



2 | Compound: CaLa2Ir
Source: Alexandria
Functional: GGA-PBE
Structure: optimized geometry

The symmetry is Immm, No. 71. The crystal system is orthorhombic. The calculated volume comes out at 31.15 Å³ per atom.

a b c (Å): 6.498 6.498 5.818
angles (deg): 63.36 63.36 35.08
Sites, in units of the cell vectors:
La 0.935 0.935 0.065
Ir 0.250 0.250 0.250
Ca 0.750 0.750 0.750
La 0.565 0.565 0.435



Which is most stable, and by how much? 1, by 75 meV/atom.